[1]
Below is a relaxed SiRu2Rh crystal, with properties calculated at the GGA-PBE level.

Lattice parameters (Å, degrees): 5.446 5.446 6.602 65.64 65.64 90.00
Fractional positions:
Ru 0.613 0.125 0.250
Ru 0.137 0.625 0.250
Ru 0.375 0.387 0.750
Ru 0.875 0.863 0.750
Si 0.500 0.500 0.000
Si 0.250 0.750 0.500
Rh 0.000 0.000 0.000
Rh 0.750 0.250 0.500

## Properties
The value obtained for the volume is 19.88 Å³ per atom. The calculation puts the raw total energy at -56.50 eV for the cell shown. The calculation puts the uncorrected formation energy at 0.769 eV/atom.

[2]
Below is a relaxed RbAgSb crystal, with properties calculated at the GGA-PBE level.

Lattice parameters (Å, degrees): 7.912 8.468 7.717 89.46 94.23 118.72
Fractional positions:
Ag 0.367 0.861 0.084
Ag 0.695 0.414 0.665
Ag 0.633 0.139 0.916
Ag 0.305 0.586 0.335
Rb 0.194 0.845 0.618
Rb 0.696 0.758 0.903
Rb 0.806 0.155 0.382
Rb 0.304 0.242 0.097
Sb 0.002 0.608 0.151
Sb 0.679 0.627 0.392
Sb 0.998 0.392 0.849
Sb 0.321 0.373 0.608

## Properties
The energy above the most stable polymorph in this dataset comes out at 0.0581 eV per atom. The value obtained for the volume is 37.67 Å³ per atom. The calculation puts the raw total energy at -33.49 eV for the cell shown. The calculation puts the uncorrected formation energy at -0.144 eV/atom.

[3]
Below is a relaxed ScCuBr crystal, with properties calculated at the GGA-PBE level.

Lattice parameters (Å, degrees): 4.570 4.570 4.570 60.00 60.00 60.00
Fractional positions:
Br 0.500 0.500 0.500
Cu 0.750 0.750 0.750
Sc 0.000 0.000 0.000

## Properties
The energy above the most stable polymorph in this dataset comes out at 0.9276 eV per atom. The value obtained for the volume is 22.50 Å³ per atom. The calculation puts the raw total energy at -11.79 eV for the cell shown. The calculation puts the uncorrected formation energy at 0.105 eV/atom.